# 1
Density functional theory data (PBE) for K2AlPb after structural relaxation.

The structure belongs to space group Cm (No. 8); the cell edges are 12.879, 4.342 and 6.073 Å and the angles 90.00°, 118.04° and 90.00°. The distinct sites, in fractional coordinates, are K at (0.000, 0.000, 0.000), K at (0.194, 0.000, 0.694), Al at (0.428, 0.000, 0.430) and Pb at (0.274, 0.500, 0.272).

For the formation energy, the calculation gives 0.039 eV/atom. As for the calculated total energy: -9.49 eV/f.u. The density of states at the Fermi level comes out at 4.57 states/eV per cell. The relative energy among the computed polymorphs comes out at 29 meV/atom.

=====

# 2
Density functional theory data (PBE) for K2AlPb after structural relaxation.

The structure belongs to space group I-42d (No. 122); the cell edges are 13.163, 13.163 and 5.246 Å and the angles 90.00°, 90.00° and 90.00°. The distinct sites, in fractional coordinates, are K at (0.055, 0.250, 0.125), Al at (0.000, 0.000, 0.000) and Pb at (0.000, 0.000, 0.500).

For the formation energy, the calculation gives 0.178 eV/atom. As for the calculated total energy: -8.93 eV/f.u. The density of states at the Fermi level comes out at 7.73 states/eV per cell. The relative energy among the computed polymorphs comes out at 168 meV/atom.

=====

# 3
Density functional theory data (PBE) for KAl2Pb after structural relaxation.

The structure belongs to space group Cmmm (No. 65); the cell edges are 6.419, 10.907 and 3.097 Å and the angles 90.00°, 90.00° and 90.00°. The distinct sites, in fractional coordinates, are K at (0.000, 0.000, 0.000), Al at (0.250, 0.250, 0.500) and Pb at (0.000, 0.500, 0.000).

For the formation energy, the calculation gives 0.387 eV/atom. As for the calculated total energy: -10.74 eV/f.u. The density of states at the Fermi level comes out at 5.41 states/eV per cell.

=====

# 4
Density functional theory data (PBE) for KAlPdPb2 after structural relaxation.

The structure belongs to space group P4/mmm (No. 123); the cell edges are 5.577, 5.577 and 4.864 Å and the angles 90.00°, 90.00° and 90.00°. The distinct sites, in fractional coordinates, are K at (0.000, 0.000, 0.000), Al at (0.500, 0.500, 0.500), Pd at (0.500, 0.500, 0.000) and Pb at (0.000, 0.500, 0.500).

For the formation energy, the calculation gives 0.082 eV/atom. As for the calculated total energy: -17.04 eV/f.u. The density of states at the Fermi level comes out at 2.52 states/eV per cell.

=====

# 5
Density functional theory data (PBE) for K2AlRhPb after structural relaxation.

The structure belongs to space group P4/mmm (No. 123); the cell edges are 6.298, 6.298 and 5.422 Å and the angles 90.00°, 90.00° and 90.00°. The distinct sites, in fractional coordinates, are K at (0.000, 0.500, 0.000), Al at (0.000, 0.000, 0.000), Rh at (0.500, 0.500, 0.500) and Pb at (0.000, 0.000, 0.500).

For the formation energy, the calculation gives 1.001 eV/atom. As for the calculated total energy: -11.99 eV/f.u. The density of states at the Fermi level comes out at 4.86 states/eV per cell.

=====

# 6
Density functional theory data (PBE) for KAlRh2Pb after structural relaxation.

The structure belongs to space group P4/mmm (No. 123); the cell edges are 5.077, 5.077 and 5.855 Å and the angles 90.00°, 90.00° and 90.00°. The distinct sites, in fractional coordinates, are K at (0.000, 0.000, 0.000), Al at (0.500, 0.500, 0.000), Rh at (0.000, 0.500, 0.500) and Pb at (0.000, 0.000, 0.500).

For the formation energy, the calculation gives 1.110 eV/atom. As for the calculated total energy: -17.70 eV/f.u. The density of states at the Fermi level comes out at 4.49 states/eV per cell. The relative energy among the computed polymorphs comes out at 0 meV/atom.

=====

# 7
Density functional theory data (PBE) for KAlRh2Pb after structural relaxation.

The structure belongs to space group P4/mmm (No. 123); the cell edges are 4.844, 4.844 and 5.225 Å and the angles 90.00°, 90.00° and 90.00°. The distinct sites, in fractional coordinates, are K at (0.000, 0.000, 0.000), Al at (0.000, 0.000, 0.500), Rh at (0.000, 0.500, 0.000) and Pb at (0.500, 0.500, 0.500).

For the formation energy, the calculation gives 1.660 eV/atom. As for the calculated total energy: -14.95 eV/f.u. The density of states at the Fermi level comes out at 6.91 states/eV per cell. The relative energy among the computed polymorphs comes out at 549 meV/atom.

=====

# 8
Density functional theory data (PBE) for KAlRu2Pb after structural relaxation.

The structure belongs to space group P4/mmm (No. 123); the cell edges are 4.787, 4.787 and 5.586 Å and the angles 90.00°, 90.00° and 90.00°. The distinct sites, in fractional coordinates, are K at (0.000, 0.000, 0.000), Al at (0.500, 0.500, 0.500), Ru at (0.000, 0.500, 0.000) and Pb at (0.000, 0.000, 0.500).

For the formation energy, the calculation gives 2.360 eV/atom. As for the calculated total energy: -15.30 eV/f.u. The density of states at the Fermi level comes out at 5.67 states/eV per cell.

=====

# 9
Density functional theory data (PBE) for KAlRuPb2 after structural relaxation.

The structure belongs to space group P4/mmm (No. 123); the cell edges are 5.860, 5.860 and 4.677 Å and the angles 90.00°, 90.00° and 90.00°. The distinct sites, in fractional coordinates, are K at (0.000, 0.000, 0.000), Al at (0.500, 0.500, 0.500), Ru at (0.000, 0.000, 0.500) and Pb at (0.000, 0.500, 0.000).

For the formation energy, the calculation gives 1.751 eV/atom. As for the calculated total energy: -12.78 eV/f.u. The density of states at the Fermi level comes out at 5.09 states/eV per cell.

=====

# 10
Density functional theory data (PBE) for KAlSi2Pb after structural relaxation.

The structure belongs to space group P4/mmm (No. 123); the cell edges are 4.938, 4.938 and 5.638 Å and the angles 90.00°, 90.00° and 90.00°. The distinct sites, in fractional coordinates, are K at (0.000, 0.000, 0.000), Al at (0.500, 0.500, 0.500), Si at (0.000, 0.500, 0.500) and Pb at (0.500, 0.500, 0.000).

As for the energy relative to the elements, uncorrected: 535 meV per atom. As for the calculated total energy: -16.72 eV/f.u. The density of states at the Fermi level comes out at 3.86 states/eV per cell.

=====

# 11
Density functional theory data (PBE) for K2AlTcPb after structural relaxation.

The structure belongs to space group P4/mmm (No. 123); the cell edges are 6.485, 6.485 and 5.317 Å and the angles 90.00°, 90.00° and 90.00°. The distinct sites, in fractional coordinates, are K at (0.000, 0.500, 0.000), Al at (0.000, 0.000, 0.000), Tc at (0.500, 0.500, 0.500) and Pb at (0.000, 0.000, 0.500).

For the formation energy, the calculation gives 1.281 eV/atom. As for the calculated total energy: -13.61 eV/f.u. The density of states at the Fermi level comes out at 3.79 states/eV per cell.

=====

# 12
Density functional theory data (PBE) for K2AlTe4Pb after structural relaxation.

The structure belongs to space group I-42m (No. 121); the cell edges are 8.744, 8.744 and 7.447 Å and the angles 90.00°, 90.00° and 90.00°. The distinct sites, in fractional coordinates, are K at (0.000, 0.500, 0.000), Al at (0.000, 0.000, 0.000), Te at (0.175, 0.175, 0.788) and Pb at (0.000, 0.000, 0.500).

As for the energy relative to the elements, uncorrected: -653 meV per atom. As for the calculated total energy: -27.43 eV/f.u. The density of states at the Fermi level comes out at 6.69 states/eV per cell.